Record 1
Ta2BrN | GGA-PBEsol | optimized geometry

a b c (Å): 7.0554 7.0554 7.0554
angles (deg): 140.17 140.17 57.60
Fractional coordinates of all 8 atoms:
Ta  0.0162  0.6250  0.8912
Ta  0.3750  0.2662  0.3912
Ta  0.7338  0.1250  0.1088
Ta  0.8750  0.9838  0.6088
Br  0.2500  0.7500  0.5000
Br  0.5000  0.5000  0.0000
N  0.0000  0.0000  0.0000
N  0.7500  0.2500  0.5000

Output
Calculated volume ... 17.86 A^3/atom
Relative energy among the computed polymorphs ... 0.0 kJ per mole of atoms
E_form (uncorrected) ... 115 meV/atom

---

Record 2
TcBrN2 | GGA-PBEsol | optimized geometry

a b c (Å): 6.9772 6.9772 6.9772
angles (deg): 24.82 24.82 24.82
Fractional coordinates of all 4 atoms:
Tc  0.0000  0.0000  0.0000
Br  0.5000  0.5000  0.5000
N  0.0894  0.0894  0.0894
N  0.9106  0.9106  0.9106

Output
Calculated volume ... 13.16 A^3/atom
E_form (uncorrected) ... 1567 meV/atom